1.
# Nd3InGe2Pt9

A relaxed Nd3InGe2Pt9 crystal (GGA-PBE, the Alexandria database).

POSCAR file:
```
Nd3InGe2Pt9
1.0
5.7374 0.0000 0.0000
-2.8687 4.9687 0.0000
0.0000 0.0000 11.6222
Nd In Ge Pt
3 1 2 9
Direct
0.0000 0.0000 0.0000
0.3333 0.6667 0.5936
0.6667 0.3333 0.4064
0.0000 0.0000 0.5000
0.3333 0.6667 0.1606
0.6667 0.3333 0.8394
0.0000 0.5000 0.0000
0.1649 0.3297 0.3164
0.1649 0.8351 0.3164
0.3297 0.1649 0.6836
0.5000 0.0000 0.0000
0.5000 0.5000 0.0000
0.6703 0.8351 0.3164
0.8351 0.1649 0.6836
0.8351 0.6703 0.6836
```

- crystal system = trigonal
- formation enthalpy at 0 K (eV/atom) = -0.656
- raw total energy (eV per cell) = -90.48



2.
# FeCoPt3

A relaxed FeCoPt3 crystal (GGA-PBE, the Alexandria database).

POSCAR file:
```
FeCoPt3
1.0
4.7403 0.0000 0.0000
0.0000 4.4147 0.0000
-2.3674 0.0000 6.8050
Fe Co Pt
2 2 6
Direct
0.2303 0.2500 0.2982
0.7697 0.7500 0.7018
0.3750 0.7500 0.9022
0.6250 0.2500 0.0978
0.0515 0.2500 0.9071
0.1747 0.7500 0.5124
0.4492 0.2500 0.7114
0.5508 0.7500 0.2886
0.8253 0.2500 0.4876
0.9485 0.7500 0.0929
```

- crystal system = monoclinic
- formation enthalpy at 0 K (eV/atom) = -0.164
- raw total energy (eV per cell) = -69.02
- offset from the most stable computed form (kJ per mole of atoms) = 0.0



3.
# La4Pr15Sm

A relaxed La4Pr15Sm crystal (GGA-PBE, the Alexandria database).

POSCAR file:
```
La4Pr15Sm
1.0
5.2631 0.0000 0.0000
0.0000 5.2631 0.0000
0.0000 0.0000 26.2654
La Pr Sm
4 15 1
Direct
0.0000 0.0000 0.1002
0.0000 0.0000 0.3003
0.0000 0.0000 0.6997
0.0000 0.0000 0.8998
0.0000 0.5000 0.0000
0.0000 0.5000 0.2002
0.0000 0.5000 0.4011
0.0000 0.5000 0.5989
0.0000 0.5000 0.7998
0.5000 0.0000 0.0000
0.5000 0.0000 0.2002
0.5000 0.0000 0.4011
0.5000 0.0000 0.5989
0.5000 0.0000 0.7998
0.5000 0.5000 0.1001
0.5000 0.5000 0.3011
0.5000 0.5000 0.5000
0.5000 0.5000 0.6989
0.5000 0.5000 0.8999
0.0000 0.0000 0.5000
```

- crystal system = tetragonal
- formation enthalpy at 0 K (eV/atom) = 0.013
- raw total energy (eV per cell) = -95.86



4.
# Ca2NdAgO4

A relaxed Ca2NdAgO4 crystal (GGA-PBE, the Alexandria database).

POSCAR file:
```
Ca2NdAgO4
1.0
5.8939 0.0000 0.0000
0.0000 3.5225 0.0000
-1.9379 0.0000 5.7364
Ca Nd Ag O
2 1 1 4
Direct
0.0000 0.0000 0.0000
0.5000 0.5000 0.0000
0.0000 0.5000 0.5000
0.5000 0.0000 0.5000
0.2242 0.5000 0.2271
0.2329 0.0000 0.7549
0.7671 0.0000 0.2451
0.7758 0.5000 0.7729
```

- crystal system = monoclinic
- raw total energy (eV per cell) = -50.97
- formation energy (no corrections) (eV/atom) = -2.4391



5.
# LiPm2Sm

A relaxed LiPm2Sm crystal (GGA-PBE, the Alexandria database).

POSCAR file:
```
LiPm2Sm
1.0
5.7770 0.0000 0.0000
0.0000 5.7770 0.0000
0.0000 0.0000 3.7403
Li Pm Sm
1 2 1
Direct
0.0000 0.0000 0.0000
0.0000 0.5000 0.5000
0.5000 0.0000 0.5000
0.5000 0.5000 0.0000
```

- crystal system = tetragonal
- formation enthalpy at 0 K (eV/atom) = 0.132
- raw total energy (eV per cell) = -15.61
- offset from the most stable computed form (kJ per mole of atoms) = 6.5



6.
# HfZr2TaP

A relaxed HfZr2TaP crystal (GGA-PBE, the Alexandria database).

POSCAR file:
```
HfZr2TaP
1.0
5.1356 0.0000 0.0000
0.0000 5.1356 0.0000
0.0000 0.0000 4.6912
Hf Zr Ta P
1 2 1 1
Direct
0.0000 0.0000 0.0000
0.0000 0.5000 0.0000
0.5000 0.0000 0.0000
0.5000 0.5000 0.5000
0.0000 0.0000 0.5000
```

- crystal system = tetragonal
- formation enthalpy at 0 K (eV/atom) = 1.286
- raw total energy (eV per cell) = -37.88



7.
# LaPm2Zn2Si2

A relaxed LaPm2Zn2Si2 crystal (GGA-PBE, the Alexandria database).

POSCAR file:
```
LaPm2Zn2Si2
1.0
2.0736 1.1972 11.6824
-2.0736 1.1972 11.6824
0.0000 -2.3944 11.6824
La Pm Zn Si
1 2 2 2
Direct
0.0000 0.0000 0.0000
0.1224 0.1224 0.1224
0.8776 0.8776 0.8776
0.3970 0.3970 0.3970
0.6030 0.6030 0.6030
0.2698 0.2698 0.2698
0.7302 0.7302 0.7302
```

- crystal system = trigonal
- raw total energy (eV per cell) = -31.13
- formation energy (no corrections) (eV/atom) = -0.4730



8.
# K3Tl8Au3

A relaxed K3Tl8Au3 crystal (GGA-PBE, the Alexandria database).

POSCAR file:
```
K3Tl8Au3
1.0
9.2760 -2.6974 0.0000
9.2760 2.6974 0.0000
-5.2057 0.0000 8.5203
K Tl Au
3 8 3
Direct
0.0000 0.0000 0.0000
0.2816 0.2816 0.2860
0.7184 0.7184 0.7140
0.1348 0.1348 0.8313
0.1492 0.1492 0.4506
0.3378 0.3378 0.9699
0.4966 0.4966 0.6715
0.5034 0.5034 0.3285
0.6622 0.6622 0.0301
0.8508 0.8508 0.5494
0.8652 0.8652 0.1687
0.0000 0.0000 0.5000
0.3406 0.3406 0.6838
0.6594 0.6594 0.3162
```

- crystal system = monoclinic
- formation enthalpy at 0 K (eV/atom) = -0.134
- raw total energy (eV per cell) = -33.93



9.
# Li2GdIr

A relaxed Li2GdIr crystal (GGA-PBE, the Alexandria database).

POSCAR file:
```
Li2GdIr
1.0
1.4427 0.8329 10.4524
-1.4427 0.8329 10.4524
0.0000 -1.6659 10.4524
Li Gd Ir
2 1 1
Direct
0.1011 0.1011 0.1011
0.8989 0.8989 0.8989
0.0000 0.0000 0.0000
0.5000 0.5000 0.5000
```

- crystal system = trigonal
- formation enthalpy at 0 K (eV/atom) = 0.294
- raw total energy (eV per cell) = -25.59
- offset from the most stable computed form (kJ per mole of atoms) = 44.7



10.
# CsSiTe4

A relaxed CsSiTe4 crystal (GGA-PBE, the Alexandria database).

POSCAR file:
```
CsSiTe4
1.0
7.1268 0.0000 0.0000
-0.4366 7.3813 0.0000
-2.1787 -2.6727 8.3847
Cs Si Te
2 2 8
Direct
0.2484 0.2412 0.0125
0.7516 0.7588 0.9875
0.0000 0.5000 0.5000
0.5000 0.0000 0.5000
0.1506 0.1543 0.5652
0.1962 0.6473 0.8034
0.3078 0.8161 0.1863
0.3525 0.6212 0.4328
0.6474 0.3788 0.5672
0.6922 0.1839 0.8137
0.8038 0.3527 0.1966
0.8494 0.8457 0.4348
```

- crystal system = triclinic
- raw total energy (eV per cell) = -39.61
- formation energy (no corrections) (eV/atom) = -0.1604
- offset from the most stable computed form (kJ per mole of atoms) = 18.0



11.
# GaAgTe2I

A relaxed GaAgTe2I crystal (GGA-PBE, the Alexandria database).

POSCAR file:
```
GaAgTe2I
1.0
5.4582 0.0000 0.0000
0.0000 5.4582 0.0000
0.0000 0.0000 5.8350
Ga Ag Te I
1 1 2 1
Direct
0.0000 0.0000 0.0000
0.5000 0.5000 0.5000
0.0000 0.5000 0.5000
0.5000 0.0000 0.5000
0.5000 0.5000 0.0000
```

- crystal system = tetragonal
- raw total energy (eV per cell) = -12.20
- formation energy (no corrections) (eV/atom) = 0.3029
- offset from the most stable computed form (kJ per mole of atoms) = 0.0



12.
# Tb4Ho4Er5

A relaxed Tb4Ho4Er5 crystal (GGA-PBE, the Alexandria database).

POSCAR file:
```
Tb4Ho4Er5
1.0
-6.3484 6.3484 2.4849
6.3484 -6.3484 2.4849
6.3484 6.3484 -2.4849
Tb Ho Er
4 4 5
Direct
0.1536 0.2303 0.3839
0.2303 0.8464 0.0767
0.7697 0.1536 0.9233
0.8464 0.7697 0.6161
0.0770 0.6152 0.6922
0.3848 0.0770 0.4618
0.6152 0.9230 0.5382
0.9230 0.3848 0.3078
0.0000 0.0000 0.0000
0.3079 0.4618 0.7697
0.4618 0.6921 0.1539
0.5382 0.3079 0.8461
0.6921 0.5382 0.2303
```

- crystal system = tetragonal
- formation enthalpy at 0 K (eV/atom) = 0.019
- raw total energy (eV per cell) = -59.40



Computed N(E_F), in the same sequence as the records: 6.269, 2.589, 33.119, 0.000, 5.417, 5.651, 6.855, 6.960, 5.945, 2.680, 5.600, 17.019 states/eV/f.u..